(1)
Below is a relaxed structure of VCr2Rh4, with properties calculated at the PBE level.

Results
Space-group type: I4/mmm
DFT total energy in eV for the cell shown: -52.4
DOS at the Fermi energy in states/eV/f.u.: 8.20

Unit cell a=6.9698 b=6.9698 c=6.9698 alpha=142.64 beta=142.64 gamma=53.87
Closest atoms and distances in Å follow each position.
Sites, in units of the cell vectors:
1 V 0.0000 0.0000 0.0000  6 Rh 2.23-2.27
2 Cr 0.3770 0.3770 0.0000  5 Rh 2.42-2.71
3 Cr 0.6230 0.6230 0.0000  5 Rh 2.42-2.71
4 Rh 0.0000 0.5000 0.5000  2 V 2.23
5 Rh 0.1825 0.1825 0.0000  1 V 2.27, 1 Cr 2.42
6 Rh 0.5000 0.0000 0.5000  2 V 2.23
7 Rh 0.8175 0.8175 0.0000  1 V 2.27, 1 Cr 2.42

---

(2)
Below is a relaxed structure of TmZn2Cd, with properties calculated at the PBE level.

Results
Space-group type: Pmma
DFT total energy in eV for the cell shown: -18.1
DOS at the Fermi energy in states/eV/f.u.: 1.27

Unit cell a=5.1468 b=4.2390 c=7.2206 alpha=90.00 beta=90.00 gamma=90.00
Closest atoms and distances in Å follow each position.
Sites, in units of the cell vectors:
1 Tm 0.2500 0.0000 0.1959  3 Zn 2.93-2.99, 2 Cd 3.14
2 Tm 0.7500 0.0000 0.8041  3 Zn 2.93-2.99, 2 Cd 3.14
3 Zn 0.0000 0.5000 0.5000  6 Zn 2.57-2.60
4 Zn 0.2500 0.0000 0.6095  4 Zn 2.60, 2 Cd 2.86
5 Zn 0.5000 0.5000 0.5000  6 Zn 2.57-2.60
6 Zn 0.7500 0.0000 0.3905  4 Zn 2.60, 2 Cd 2.86
7 Cd 0.2500 0.5000 0.8753  4 Zn 2.86-3.00, 2 Tm 3.14, 2 Cd 3.14
8 Cd 0.7500 0.5000 0.1247  4 Zn 2.86-3.00, 2 Tm 3.14, 2 Cd 3.14

---

(3)
Below is a relaxed structure of TlTc2F11, with properties calculated at the PBE level.

Results
Space-group type: Ibam
DFT total energy in eV for the cell shown: -144.7
DOS at the Fermi energy in states/eV/f.u.: 12.71
Raw formation energy in meV/atom: -2048

Unit cell a=8.8958 b=8.8958 c=8.8958 alpha=114.51 beta=113.29 gamma=100.94
Closest atoms and distances in Å follow each position.
Sites, in units of the cell vectors:
1 Tl 0.2500 0.2500 0.0000  8 F 2.94-2.95
2 Tl 0.7500 0.7500 0.0000  8 F 2.94-2.95
3 Tc 0.1545 0.6423 0.7968  6 F 1.86-2.04
4 Tc 0.3455 0.1423 0.4878  6 F 1.86-2.04
5 Tc 0.6545 0.8577 0.5122  6 F 1.86-2.04
6 Tc 0.8455 0.3577 0.2032  6 F 1.86-2.04
7 F 0.0000 0.5000 0.5000  2 Tc 2.04
8 F 0.0577 0.3751 0.1962  1 Tc 1.89
9 F 0.1256 0.4189 0.7807  1 Tc 1.89
10 F 0.1382 0.9189 0.2933  1 Tc 1.89
11 F 0.1789 0.8614 0.8038  1 Tc 1.89
12 F 0.2032 0.2705 0.4738  1 Tc 1.86
13 F 0.2968 0.7705 0.0673  1 Tc 1.86
14 F 0.3211 0.1249 0.6825  1 Tc 1.89
15 F 0.3618 0.6551 0.7807  1 Tc 1.89
16 F 0.3744 0.1551 0.2933  1 Tc 1.89
17 F 0.4423 0.6386 0.3175  1 Tc 1.89
18 F 0.5000 0.0000 0.5000  2 Tc 2.04
19 F 0.5577 0.3614 0.6825  1 Tc 1.89
20 F 0.6256 0.8449 0.7067  1 Tc 1.89
21 F 0.6382 0.3449 0.2193  1 Tc 1.89
22 F 0.6789 0.8751 0.3175  1 Tc 1.89
23 F 0.7032 0.2295 0.9327  1 Tc 1.86
24 F 0.7968 0.7295 0.5262  1 Tc 1.86
25 F 0.8211 0.1386 0.1962  1 Tc 1.89
26 F 0.8618 0.0811 0.7067  1 Tc 1.89
27 F 0.8744 0.5811 0.2193  1 Tc 1.89
28 F 0.9423 0.6249 0.8038  1 Tc 1.89

---

(4)
Below is a relaxed structure of Pa2Ge2Os, with properties calculated at the PBE level.

Results
Space-group type: Amm2
DFT total energy in eV for the cell shown: -41.8
DOS at the Fermi energy in states/eV/f.u.: 3.04

Unit cell a=3.2633 b=7.3855 c=7.3855 alpha=34.30 beta=90.00 gamma=90.00
Closest atoms and distances in Å follow each position.
Sites, in units of the cell vectors:
1 Pa 0.0000 0.0000 0.0000  4 Os 2.96, 6 Ge 3.03-3.13, 3 Pa 3.26-3.30
2 Pa 0.0000 0.2335 0.2335  8 Ge 2.98-3.24, 2 Os 3.07, 3 Pa 3.26-3.30
3 Ge 0.5000 0.6090 0.6090  1 Os 2.69, 1 Ge 2.97
4 Ge 0.5000 0.8191 0.8191  2 Os 2.59
5 Os 0.5000 0.4181 0.4181  3 Ge 2.59-2.69

---

(5)
Below is a relaxed structure of Li2Pm2ThMg5, with properties calculated at the PBE level.

Results
Space-group type: P4/mbm
DFT total energy in eV for the cell shown: -57.3
DOS at the Fermi energy in states/eV/f.u.: 8.25

Unit cell a=10.6875 b=10.6875 c=4.4774 alpha=90.00 beta=90.00 gamma=90.00
Closest atoms and distances in Å follow each position.
Sites, in units of the cell vectors:
1 Li 0.1112 0.3888 0.0000  6 Mg 2.80-2.94, 1 Pm 3.10
2 Li 0.3888 0.8888 0.0000  6 Mg 2.80-2.94, 1 Pm 3.10
3 Li 0.6112 0.1112 0.0000  6 Mg 2.80-2.94, 1 Pm 3.10
4 Li 0.8888 0.6112 0.0000  6 Mg 2.80-2.94, 1 Pm 3.10
5 Pm 0.1836 0.6836 0.0000  3 Li 3.10-3.24
6 Pm 0.3164 0.1836 0.0000  3 Li 3.10-3.24
7 Pm 0.6836 0.8164 0.0000  3 Li 3.10-3.24
8 Pm 0.8164 0.3164 0.0000  3 Li 3.10-3.24
9 Th 0.0000 0.0000 0.0000  8 Mg 3.30
10 Th 0.5000 0.5000 0.0000  8 Mg 3.30
11 Mg 0.0000 0.5000 0.5000  4 Li 2.80, 4 Mg 3.07
12 Mg 0.0575 0.2190 0.5000  2 Li 2.94, 1 Mg 3.07
13 Mg 0.2190 0.9425 0.5000  2 Li 2.94, 1 Mg 3.07
14 Mg 0.2810 0.4425 0.5000  2 Li 2.94, 1 Mg 3.07
15 Mg 0.4425 0.7190 0.5000  2 Li 2.94, 1 Mg 3.07
16 Mg 0.5000 0.0000 0.5000  4 Li 2.80, 4 Mg 3.07
17 Mg 0.5575 0.2810 0.5000  2 Li 2.94, 1 Mg 3.07
18 Mg 0.7190 0.5575 0.5000  2 Li 2.94, 1 Mg 3.07
19 Mg 0.7810 0.0575 0.5000  2 Li 2.94, 1 Mg 3.07
20 Mg 0.9425 0.7810 0.5000  2 Li 2.94, 1 Mg 3.07

---

(6)
Below is a relaxed structure of Ce2Ho5Tm4, with properties calculated at the PBE level.

Results
Space-group type: Immm
DFT total energy in eV for the cell shown: -49.8
DOS at the Fermi energy in states/eV/f.u.: 21.08

Unit cell a=10.8876 b=10.8876 c=10.8876 alpha=162.05 beta=117.16 gamma=65.93
Closest atoms and distances in Å follow each position.
Sites, in units of the cell vectors:
1 Ce 0.2080 0.2080 0.0000  2 Ho 3.24, 2 Ce 3.40
2 Ce 0.7920 0.7920 0.0000  2 Ho 3.24, 2 Ce 3.40
3 Ho 0.0000 0.5000 0.5000  2 Ho 3.40, 4 Tm 3.57
4 Ho 0.1051 0.8245 0.2805  3 Tm 3.21-3.38, 1 Ce 3.24, 4 Ho 3.28-3.40
5 Ho 0.4560 0.1755 0.2805  3 Tm 3.21-3.38, 1 Ce 3.24, 4 Ho 3.28-3.40
6 Ho 0.5440 0.8245 0.7195  3 Tm 3.21-3.38, 1 Ce 3.24, 4 Ho 3.28-3.40
7 Ho 0.8949 0.1755 0.7195  3 Tm 3.21-3.38, 1 Ce 3.24, 4 Ho 3.28-3.40
8 Tm 0.2766 0.0000 0.2766  4 Ho 3.21-3.57, 6 Tm 3.40-3.48
9 Tm 0.4087 0.4087 0.0000  7 Tm 3.34-3.48, 4 Ho 3.38, 1 Ce 3.67
10 Tm 0.5913 0.5913 0.0000  7 Tm 3.34-3.48, 4 Ho 3.38, 1 Ce 3.67
11 Tm 0.7234 0.0000 0.7234  4 Ho 3.21-3.57, 6 Tm 3.40-3.48

---

(7)
Below is a relaxed structure of BaReW2, with properties calculated at the PBE level.

Results
Space-group type: R3m
DFT total energy in eV for the cell shown: -36.0
DOS at the Fermi energy in states/eV/f.u.: 6.26

Unit cell a=10.1066 b=10.1066 c=10.1066 alpha=17.61 beta=17.61 gamma=17.61
Closest atoms and distances in Å follow each position.
Sites, in units of the cell vectors:
1 Ba 0.0000 0.0000 0.0000  6 Ba 3.09
2 Re 0.7665 0.7665 0.7665  3 W 2.63
3 W 0.2312 0.2312 0.2312  3 W 2.67
4 W 0.4979 0.4979 0.4979  3 Re 2.63, 3 W 2.67

---

(8)
Below is a relaxed structure of InTeAs2Br, with properties calculated at the PBE level.

Results
Space-group type: P4/mmm
DFT total energy in eV for the cell shown: -14.3
DOS at the Fermi energy in states/eV/f.u.: 4.92
Raw formation energy in meV/atom: 511

Unit cell a=5.3761 b=5.3761 c=5.8903 alpha=90.00 beta=90.00 gamma=90.00
Closest atoms and distances in Å follow each position.
Sites, in units of the cell vectors:
1 In 0.0000 0.0000 0.0000  4 Br 3.80, 8 As 3.99
2 Te 0.5000 0.5000 0.5000  4 As 2.69, 2 Br 2.95
3 As 0.0000 0.5000 0.5000  2 Te 2.69
4 As 0.5000 0.0000 0.5000  2 Te 2.69
5 Br 0.5000 0.5000 0.0000  2 Te 2.95

---

(9)
Below is a relaxed structure of PuNpSe2, with properties calculated at the PBE level.

Results
Space-group type: Cmcm
DFT total energy in eV for the cell shown: -78.1
DOS at the Fermi energy in states/eV/f.u.: 15.44
Raw formation energy in meV/atom: -1204

Unit cell a=11.7669 b=11.7669 c=4.2542 alpha=90.00 beta=90.00 gamma=160.45
Closest atoms and distances in Å follow each position.
Sites, in units of the cell vectors:
1 Pu 0.0613 0.9387 0.7500  5 Se 2.90-2.92
2 Pu 0.9387 0.0613 0.2500  5 Se 2.90-2.92
3 Np 0.3117 0.6883 0.7500  6 Se 2.91-2.93
4 Np 0.6883 0.3117 0.2500  6 Se 2.91-2.93
5 Se 0.1862 0.8138 0.7500  1 Pu 2.90, 5 Np 2.91-2.92
6 Se 0.4380 0.5620 0.7500  4 Pu 2.92, 1 Np 2.93
7 Se 0.5620 0.4380 0.2500  4 Pu 2.92, 1 Np 2.93
8 Se 0.8138 0.1862 0.2500  1 Pu 2.90, 5 Np 2.91-2.92

---

(10)
Below is a relaxed structure of SrGe2Pt6, with properties calculated at the PBE level.

Results
Space-group type: P4/mmm
DFT total energy in eV for the cell shown: -51.0
DOS at the Fermi energy in states/eV/f.u.: 6.35

Unit cell a=4.1736 b=4.1736 c=9.2238 alpha=90.00 beta=90.00 gamma=90.00
Closest atoms and distances in Å follow each position.
Sites, in units of the cell vectors:
1 Sr 0.0000 0.0000 0.0000  8 Ge 3.24, 8 Pt 3.39
2 Ge 0.5000 0.5000 0.1451  4 Pt 2.47, 1 Ge 2.68
3 Ge 0.5000 0.5000 0.8549  4 Pt 2.47, 1 Ge 2.68
4 Pt 0.0000 0.0000 0.5000  12 Pt 2.85-2.95
5 Pt 0.0000 0.5000 0.2890  2 Ge 2.47
6 Pt 0.0000 0.5000 0.7110  2 Ge 2.47
7 Pt 0.5000 0.0000 0.2890  2 Ge 2.47
8 Pt 0.5000 0.0000 0.7110  2 Ge 2.47
9 Pt 0.5000 0.5000 0.5000  12 Pt 2.85-2.95

---

(11)
Below is a relaxed structure of Ga2CuAgH, with properties calculated at the PBE level.

Results
Space-group type: P4/mmm
DFT total energy in eV for the cell shown: -14.8
DOS at the Fermi energy in states/eV/f.u.: 1.43

Unit cell a=4.3696 b=4.3696 c=3.8343 alpha=90.00 beta=90.00 gamma=90.00
Closest atoms and distances in Å follow each position.
Sites, in units of the cell vectors:
1 Ga 0.0000 0.5000 0.0000  2 H 2.18
2 Ga 0.5000 0.0000 0.0000  2 H 2.18
3 Cu 0.0000 0.0000 0.5000  8 Ga 2.91, 4 Ag 3.09
4 Ag 0.5000 0.5000 0.5000  2 H 1.92
5 H 0.5000 0.5000 0.0000  2 Ag 1.92

---

(12)
Below is a relaxed structure of Cs2SrIrSe, with properties calculated at the PBE level.

Results
Space-group type: P4/mmm
DFT total energy in eV for the cell shown: -15.0
DOS at the Fermi energy in states/eV/f.u.: 3.34
Raw formation energy in meV/atom: 144

Unit cell a=7.2341 b=7.2341 c=4.6109 alpha=90.00 beta=90.00 gamma=90.00
Closest atoms and distances in Å follow each position.
Sites, in units of the cell vectors:
1 Cs 0.0000 0.5000 0.0000  2 Ir 3.62
2 Cs 0.5000 0.0000 0.0000  2 Ir 3.62
3 Sr 0.0000 0.0000 0.5000  8 Cs 4.29, 2 Sr 4.61
4 Ir 0.5000 0.5000 0.0000  2 Se 2.31
5 Se 0.5000 0.5000 0.5000  2 Ir 2.31

---

We obtain M_tot values of 7.4; 0.0; 8.0; 0.0; 0.0; 2.3; 0.0; 0.5; 20.6; 0.0; 0.0; 0.0 Bohr magnetons per cell for the records listed above, in that order.